Record 1
The following is a DFT calculation (PBEsol) of crystalline ThTe at its relaxed geometry.

Results
V: 54.9 Å³/cell
formation energy without anion corrections: -1.1604 eV/atom
energy: -6.977 eV per atom
size of the total moment: 0.000 μB per cell

```
ThTe
1.0
3.800 0.000 0.000
0.000 3.800 0.000
0.000 0.000 3.800
Th Te
1 1
direct
0.000 0.000 0.000
0.500 0.500 0.500
```

---

Record 2
The following is a DFT calculation (PBEsol) of crystalline Th7Te12 at its relaxed geometry.

Results
V: 572.1 Å³/cell
formation energy without anion corrections: -1.2423 eV/atom
energy: -6.456 eV per atom
size of the total moment: 0.002 μB per cell

```
Th7Te12
1.0
12.415 0.000 0.000
-6.207 10.751 0.000
0.000 0.000 4.286
Th Te
7 12
direct
0.000 0.000 0.000
0.164 0.453 0.500
0.289 0.836 0.500
0.438 0.278 0.000
0.547 0.711 0.500
0.722 0.159 0.000
0.841 0.562 0.000
0.007 0.255 0.000
0.133 0.625 0.000
0.216 0.213 0.500
0.247 0.993 0.000
0.375 0.508 0.000
0.492 0.867 0.000
0.521 0.137 0.500
0.616 0.479 0.500
0.745 0.753 0.000
0.787 0.003 0.500
0.863 0.384 0.500
0.997 0.784 0.500
```

---

Record 3
The following is a DFT calculation (PBEsol) of crystalline TiTe at its relaxed geometry.

Results
V: 81.4 Å³/cell
formation energy without anion corrections: -0.6817 eV/atom
energy: -6.606 eV per atom
size of the total moment: 0.001 μB per cell

```
TiTe
1.0
3.607 0.000 0.000
-1.803 3.124 0.000
0.000 0.000 7.228
Ti Te
2 2
direct
0.000 0.000 0.000
0.000 0.000 0.500
0.333 0.667 0.250
0.667 0.333 0.750
```

---

Record 4
The following is a DFT calculation (PBEsol) of crystalline TiTe2W at its relaxed geometry.

Results
V: 174.1 Å³/cell
formation energy without anion corrections: 0.6101 eV/atom
energy: -6.685 eV per atom
size of the total moment: 0.001 μB per cell

```
TiTe2W
1.0
-2.217 2.217 8.852
2.217 -2.217 8.852
2.217 2.217 -8.852
Ti Te W
2 4 2
direct
0.000 0.000 0.000
0.750 0.250 0.500
0.129 0.625 0.004
0.375 0.379 0.504
0.621 0.125 0.996
0.875 0.871 0.496
0.250 0.750 0.500
0.500 0.500 0.000
```

---

Record 5
The following is a DFT calculation (PBEsol) of crystalline Ti3ZnTe at its relaxed geometry.

Results
V: 118.4 Å³/cell
formation energy without anion corrections: 0.8357 eV/atom
energy: -5.179 eV per atom
size of the total moment: 1.000 μB per cell

```
Ti3ZnTe
1.0
4.911 0.000 0.000
0.000 4.911 0.000
0.000 0.000 4.911
Ti Zn Te
3 1 1
direct
0.000 0.000 0.500
0.000 0.500 0.000
0.500 0.000 0.000
0.500 0.500 0.500
0.000 0.000 0.000
```

---

Record 6
The following is a DFT calculation (PBEsol) of crystalline TiZnTe2 at its relaxed geometry.

Results
V: 236.0 Å³/cell
formation energy without anion corrections: -0.1873 eV/atom
energy: -4.426 eV per atom
size of the total moment: 4.009 μB per cell

```
TiZnTe2
1.0
-3.129 3.129 6.025
3.129 -3.129 6.025
3.129 3.129 -6.025
Ti Zn Te
2 2 4
direct
0.000 0.000 0.000
0.750 0.250 0.500
0.250 0.750 0.500
0.500 0.500 0.000
0.136 0.625 0.011
0.375 0.386 0.511
0.614 0.125 0.989
0.875 0.864 0.489
```

---

Record 7
The following is a DFT calculation (PBEsol) of crystalline ZrTiTe4 at its relaxed geometry.

Results
V: 161.2 Å³/cell
formation energy without anion corrections: -0.7828 eV/atom
energy: -6.036 eV per atom
size of the total moment: 0.000 μB per cell

```
ZrTiTe4
1.0
6.478 0.000 0.000
0.000 3.779 0.000
-0.015 0.000 6.585
Zr Ti Te
1 1 4
direct
0.000 0.000 0.000
0.000 0.500 0.500
0.268 0.000 0.344
0.278 0.500 0.823
0.722 0.500 0.177
0.732 0.000 0.656
```

---

Record 8
The following is a DFT calculation (PBEsol) of crystalline TlTe at its relaxed geometry.

Results
V: 125.4 Å³/cell
formation energy without anion corrections: -0.1404 eV/atom
energy: -3.219 eV per atom
size of the total moment: 0.000 μB per cell

```
TlTe
1.0
3.111 0.000 0.000
0.000 6.467 0.000
0.000 0.000 6.236
Tl Te
2 2
direct
0.250 0.250 0.249
0.750 0.750 0.751
0.250 0.750 0.250
0.750 0.250 0.750
```